Material: ScAg4P
Method: DFT, PBE
State: optimized geometry

a b c (Å): 7.723 7.723 7.723
angles (deg): 90.00 90.00 90.00
Space group F-43m (No. 216)
One atom of each set of equivalent atoms:
Sc (0.000, 0.000, 0.000) [4 per cell]
Ag (0.125, 0.125, 0.625) [16 per cell]
P (0.250, 0.250, 0.250) [4 per cell]

Calculated values
VASP energy, eV/cell: -90.06